# Na2AlIn

A relaxed structure of Na2AlIn (PBE, Alexandria).

abc: 7.3974 7.3974 7.3974
angles: 90.00 90.00 90.00
With the nearest neighbours (Å) after each atom.
Fractional coordinates of all 16 atoms:
Na (0.2500, 0.2500, 0.2500)  4 In 3.20, 4 Al 3.20
Na (0.2500, 0.2500, 0.7500)  4 In 3.20, 4 Al 3.20
Na (0.2500, 0.7500, 0.2500)  4 In 3.20, 4 Al 3.20
Na (0.2500, 0.7500, 0.7500)  4 In 3.20, 4 Al 3.20
Na (0.7500, 0.2500, 0.2500)  4 In 3.20, 4 Al 3.20
Na (0.7500, 0.2500, 0.7500)  4 In 3.20, 4 Al 3.20
Na (0.7500, 0.7500, 0.2500)  4 In 3.20, 4 Al 3.20
Na (0.7500, 0.7500, 0.7500)  4 In 3.20, 4 Al 3.20
Al (0.0000, 0.0000, 0.0000)  8 Na 3.20
Al (0.0000, 0.5000, 0.5000)  8 Na 3.20
Al (0.5000, 0.0000, 0.5000)  8 Na 3.20
Al (0.5000, 0.5000, 0.0000)  8 Na 3.20
In (0.0000, 0.0000, 0.5000)  8 Na 3.20
In (0.0000, 0.5000, 0.0000)  8 Na 3.20
In (0.5000, 0.0000, 0.0000)  8 Na 3.20
In (0.5000, 0.5000, 0.5000)  8 Na 3.20

Results
Energy relative to the elements   0.6 eV/f.u.

---

# AlCr2Ni9

A relaxed structure of AlCr2Ni9 (PBE, Alexandria).

abc: 3.5490 3.5490 10.6681
angles: 90.00 90.00 90.00
With the nearest neighbours (Å) after each atom.
Fractional coordinates of all 12 atoms:
Al (0.0000, 0.0000, 0.0000)  12 Ni 2.51-2.53
Cr (0.0000, 0.0000, 0.3321)  12 Ni 2.48-2.52
Cr (0.0000, 0.0000, 0.6679)  12 Ni 2.48-2.52
Ni (0.0000, 0.5000, 0.1692)  2 Cr 2.48, 8 Ni 2.50-2.53, 2 Al 2.53
Ni (0.0000, 0.5000, 0.5000)  8 Ni 2.51, 4 Cr 2.52
Ni (0.0000, 0.5000, 0.8308)  2 Cr 2.48, 8 Ni 2.50-2.53, 2 Al 2.53
Ni (0.5000, 0.0000, 0.1692)  2 Cr 2.48, 8 Ni 2.50-2.53, 2 Al 2.53
Ni (0.5000, 0.0000, 0.5000)  8 Ni 2.51, 4 Cr 2.52
Ni (0.5000, 0.0000, 0.8308)  2 Cr 2.48, 8 Ni 2.50-2.53, 2 Al 2.53
Ni (0.5000, 0.5000, 0.0000)  4 Al 2.51, 8 Ni 2.53
Ni (0.5000, 0.5000, 0.3336)  8 Ni 2.50-2.51, 4 Cr 2.51
Ni (0.5000, 0.5000, 0.6664)  8 Ni 2.50-2.51, 4 Cr 2.51

Results
Energy relative to the elements   -1.9 eV/f.u.

---

# Pm3TlSn

A relaxed structure of Pm3TlSn (PBE, Alexandria).

abc: 4.8750 7.4306 9.2386
angles: 90.00 90.00 90.00
With the nearest neighbours (Å) after each atom.
Fractional coordinates of all 10 atoms:
Pm (0.2500, 0.0073, 0.1893)  3 Sn 3.19-3.22, 2 Tl 3.38
Pm (0.2500, 0.2500, 0.5651)  1 Sn 3.13, 2 Tl 3.14
Pm (0.2500, 0.4927, 0.1893)  3 Sn 3.19-3.22, 2 Tl 3.38
Pm (0.7500, 0.5073, 0.8107)  3 Sn 3.19-3.22, 2 Tl 3.38
Pm (0.7500, 0.7500, 0.4349)  1 Sn 3.13, 2 Tl 3.14
Pm (0.7500, 0.9927, 0.8107)  3 Sn 3.19-3.22, 2 Tl 3.38
Tl (0.2500, 0.7500, 0.6494)  6 Pm 3.14-3.38
Tl (0.7500, 0.2500, 0.3506)  6 Pm 3.14-3.38
Sn (0.2500, 0.2500, 0.9040)  7 Pm 3.13-3.22
Sn (0.7500, 0.7500, 0.0960)  7 Pm 3.13-3.22

Results
Energy relative to the elements   -2.1 eV/f.u.

---

# Pm2TlTe3

A relaxed structure of Pm2TlTe3 (PBE, Alexandria).

abc: 4.4615 4.4615 24.1798
angles: 90.00 90.00 120.00
With the nearest neighbours (Å) after each atom.
Fractional coordinates of all 12 atoms:
Pm (0.3333, 0.6667, 0.0768)  6 Te 3.16-3.18
Pm (0.3333, 0.6667, 0.4232)  6 Te 3.16-3.18
Pm (0.6667, 0.3333, 0.5768)  6 Te 3.16-3.18
Pm (0.6667, 0.3333, 0.9232)  6 Te 3.16-3.18
Tl (0.0000, 0.0000, 0.2500)  6 Te 3.50
Tl (0.0000, 0.0000, 0.7500)  6 Te 3.50
Te (0.0000, 0.0000, 0.0000)  6 Pm 3.18
Te (0.0000, 0.0000, 0.5000)  6 Pm 3.18
Te (0.3333, 0.6667, 0.6523)  3 Pm 3.16, 3 Tl 3.50
Te (0.3333, 0.6667, 0.8477)  3 Pm 3.16, 3 Tl 3.50
Te (0.6667, 0.3333, 0.1523)  3 Pm 3.16, 3 Tl 3.50
Te (0.6667, 0.3333, 0.3477)  3 Pm 3.16, 3 Tl 3.50

Results
ΔE_f (raw)   -1.183 eV per atom

---

# Re2Mo

A relaxed structure of Re2Mo (PBE, Alexandria).

abc: 10.3355 2.7840 6.6611
angles: 90.00 106.01 90.00
With the nearest neighbours (Å) after each atom.
Fractional coordinates of all 12 atoms:
Re (0.1453, 0.0000, 0.0299)  8 Re 2.69-2.92, 4 Mo 2.79-2.82
Re (0.2004, 0.0000, 0.6416)  7 Re 2.71-2.80, 5 Mo 2.74-2.84
Re (0.2996, 0.5000, 0.3584)  7 Re 2.71-2.80, 5 Mo 2.74-2.84
Re (0.3547, 0.5000, 0.9701)  8 Re 2.69-2.92, 4 Mo 2.79-2.82
Re (0.6453, 0.5000, 0.0299)  8 Re 2.69-2.92, 4 Mo 2.79-2.82
Re (0.7004, 0.5000, 0.6416)  7 Re 2.71-2.80, 5 Mo 2.74-2.84
Re (0.7996, 0.0000, 0.3584)  7 Re 2.71-2.80, 5 Mo 2.74-2.84
Re (0.8547, 0.0000, 0.9701)  8 Re 2.69-2.92, 4 Mo 2.79-2.82
Mo (0.0265, 0.5000, 0.3013)  9 Re 2.74-2.84, 3 Mo 2.78-2.85
Mo (0.4735, 0.0000, 0.6987)  9 Re 2.74-2.84, 3 Mo 2.78-2.85
Mo (0.5265, 0.0000, 0.3013)  9 Re 2.74-2.84, 3 Mo 2.78-2.85
Mo (0.9735, 0.5000, 0.6987)  9 Re 2.74-2.84, 3 Mo 2.78-2.85

Results
Energy relative to the elements   0.4 eV/f.u.

---

# Tl3Ag2MoSe6

A relaxed structure of Tl3Ag2MoSe6 (PBE, Alexandria).

abc: 7.0454 7.0454 7.3584
angles: 99.53 99.53 119.64
With the nearest neighbours (Å) after each atom.
Fractional coordinates of all 12 atoms:
Tl (0.0000, 0.0000, 0.0000)  6 Se 3.06-3.30
Tl (0.3384, 0.6616, 0.0000)  6 Se 3.04-3.30
Tl (0.6616, 0.3384, 0.0000)  6 Se 3.04-3.30
Ag (0.1686, 0.8314, 0.5000)  6 Se 2.80-2.89
Ag (0.8314, 0.1686, 0.5000)  6 Se 2.80-2.89
Mo (0.5000, 0.5000, 0.5000)  6 Se 2.57-2.60
Se (0.1292, 0.4363, 0.2942)  1 Mo 2.57, 1 Ag 2.80
Se (0.2565, 0.2565, 0.6982)  1 Mo 2.60, 2 Ag 2.81
Se (0.4363, 0.1292, 0.2942)  1 Mo 2.57, 1 Ag 2.80
Se (0.5637, 0.8708, 0.7058)  1 Mo 2.57, 1 Ag 2.80
Se (0.7435, 0.7435, 0.3018)  1 Mo 2.60, 2 Ag 2.81
Se (0.8708, 0.5637, 0.7058)  1 Mo 2.57, 1 Ag 2.80

Results
ΔE_f (raw)   -0.203 eV per atom

---

Total DFT energy (no corrections): -2.134, -6.410, -4.535, -4.732, -11.769, -3.914 (eV per atom)